# CuNiPt2 | the Alexandria database | PBE | relaxed
data_CuNiPt2
_chemical_formula_sum 'Cu4 Ni4 Pt8'
_space_group_name_H-M_alt 'C m c m'
_space_group_IT_number 63
_space_group_name_Hall '-C 2c 2'
_cell_length_a 7.274
_cell_length_b 7.805
_cell_length_c 3.861
_cell_angle_alpha 90.00
_cell_angle_beta 90.00
_cell_angle_gamma 90.00
loop_
_atom_site_label
_atom_site_type_symbol
_atom_site_fract_x
_atom_site_fract_y
_atom_site_fract_z
Cu1 Cu 0.000 0.121 0.250
Ni1 Ni 0.000 0.373 0.750
Pt1 Pt 0.243 0.374 0.250
# DOS at the Fermi energy: 1.350 states/eV/atom
# E_form: -2.4 kcal/mol of atoms
# Calculated density: 15.53 g/cm³
# Crystal system: orthorhombic
# Calculated volume: 13.70 A^3/atom